[1]
Re2TeRu at its PBEsol-relaxed geometry, computed with meta-GGA SCAN.

abc: 9.4750 2.9587 4.5819
angles: 90.00 95.68 90.00
Last column: nearest neighbours and their distance in Å.
Positions (direct):
Re1 0.2280 0.0000 0.2211  2 Re 2.58, 1 Te 2.62, 3 Ru 2.73-2.86
Re2 0.2720 0.5000 0.7789  2 Re 2.58, 1 Te 2.62, 3 Ru 2.73-2.86
Re3 0.7280 0.5000 0.2211  2 Re 2.58, 1 Te 2.62, 3 Ru 2.73-2.86
Re4 0.7720 0.0000 0.7789  2 Re 2.58, 1 Te 2.62, 3 Ru 2.73-2.86
Te1 0.0000 0.0000 0.5000  2 Re 2.62, 4 Ru 2.73
Te2 0.5000 0.5000 0.5000  2 Re 2.62, 4 Ru 2.73
Ru1 0.0000 0.5000 0.0000  4 Te 2.73, 6 Re 2.73-2.86, 2 Ru 2.96
Ru2 0.5000 0.0000 0.0000  4 Te 2.73, 6 Re 2.73-2.86, 2 Ru 2.96

Properties
Uncorrected formation energy, eV/atom: 0.513
Magnetic moment, μB/f.u.: 0.00
Space group: C2/m, No. 12
Crystal system: monoclinic

=====

[2]
ReTe2Ru at its PBEsol-relaxed geometry, computed with meta-GGA SCAN.

abc: 3.9174 3.9174 9.3540
angles: 90.00 90.00 90.00
Last column: nearest neighbours and their distance in Å.
Positions (direct):
Re1 0.0000 0.0000 0.0000  8 Te 2.77-3.05, 4 Ru 3.05
Re2 0.5000 0.5000 0.5000  8 Te 2.77-3.05, 4 Ru 3.05
Te1 0.0000 0.0000 0.5000  4 Re 2.77, 4 Te 3.05, 4 Ru 3.05
Te2 0.0000 0.5000 0.7500  4 Ru 2.77, 4 Re 3.05, 4 Te 3.05
Te3 0.5000 0.0000 0.2500  4 Ru 2.77, 4 Re 3.05, 4 Te 3.05
Te4 0.5000 0.5000 0.0000  4 Re 2.77, 4 Te 3.05, 4 Ru 3.05
Ru1 0.0000 0.5000 0.2500  8 Te 2.77-3.05, 4 Re 3.05
Ru2 0.5000 0.0000 0.7500  8 Te 2.77-3.05, 4 Re 3.05

Properties
Uncorrected formation energy, eV/atom: 0.961
Magnetic moment, μB/f.u.: 0.00
Space group: I-4m2, No. 119
Crystal system: tetragonal